DFT (PBE-GGA) results for an optimized crystal structure of Ca2VH.

Cell lengths 6.318, 6.318, 6.318 Å; angles 112.54, 112.54, 103.50 degrees
Sites, in units of the cell vectors:
Ca1 0.014 0.125 0.389
Ca2 0.375 0.986 0.111
Ca3 0.736 0.625 0.611
Ca4 0.875 0.264 0.889
V1 0.250 0.750 0.500
V2 0.500 0.500 0.000
H1 0.000 0.000 0.000
H2 0.750 0.250 0.500

Summary:
ΔE to the lowest computed polymorph (eV per atom): 0.000

DFT (PBE-GGA) results for an optimized crystal structure of LaMg2Tl.

Cell lengths 11.201, 11.201, 11.201 Å; angles 17.54, 17.54, 17.54 degrees
Sites, in units of the cell vectors:
La1 0.000 0.000 0.000
Mg1 0.501 0.501 0.501
Mg2 0.756 0.756 0.756
Tl1 0.244 0.244 0.244

Summary:
Energy of formation (meV/atom): -27
ΔE to the lowest computed polymorph (eV per atom): 0.198

DFT (PBE-GGA) results for an optimized crystal structure of K3SrTe2O6.

Cell lengths 6.264, 6.264, 7.228 Å; angles 90.00, 90.00, 120.00 degrees
Sites, in units of the cell vectors:
K1 0.000 0.000 0.000
K2 0.333 0.667 0.642
K3 0.667 0.333 0.358
Sr1 0.000 0.000 0.500
Te1 0.333 0.667 0.158
Te2 0.667 0.333 0.842
O1 0.182 0.363 0.292
O2 0.182 0.818 0.292
O3 0.363 0.182 0.708
O4 0.637 0.818 0.292
O5 0.818 0.182 0.708
O6 0.818 0.637 0.708

Summary:
Formation energy (no corrections) (eV/atom): -1.604

DFT (PBE-GGA) results for an optimized crystal structure of Y2HoTe.

Cell lengths 6.405, 6.405, 9.765 Å; angles 90.00, 90.00, 143.98 degrees
Sites, in units of the cell vectors:
Y1 0.135 0.865 0.539
Y2 0.135 0.865 0.961
Y3 0.865 0.135 0.039
Y4 0.865 0.135 0.461
Ho1 0.442 0.558 0.750
Ho2 0.558 0.442 0.250
Te1 0.263 0.737 0.250
Te2 0.737 0.263 0.750

Summary:
Formation energy (no corrections) (eV/atom): -0.669
ΔE to the lowest computed polymorph (eV per atom): 0.000

DFT (PBE-GGA) results for an optimized crystal structure of LuThGaNi.

Cell lengths 4.992, 4.992, 4.992 Å; angles 60.00, 60.00, 60.00 degrees
Sites, in units of the cell vectors:
Lu1 0.000 0.000 0.000
Th1 0.500 0.500 0.500
Ga1 0.250 0.250 0.250
Ni1 0.750 0.750 0.750

Summary:
Energy of formation (meV/atom): -364

DFT (PBE-GGA) results for an optimized crystal structure of SmErInAg.

Cell lengths 5.286, 5.286, 5.286 Å; angles 60.00, 60.00, 60.00 degrees
Sites, in units of the cell vectors:
Sm1 0.000 0.000 0.000
Er1 0.500 0.500 0.500
In1 0.750 0.750 0.750
Ag1 0.250 0.250 0.250

Summary:
Energy of formation (meV/atom): -384

DFT (PBE-GGA) results for an optimized crystal structure of Bi2PbS2.

Cell lengths 8.517, 8.517, 3.736 Å; angles 90.00, 90.00, 90.00 degrees
Sites, in units of the cell vectors:
Bi1 0.189 0.311 0.000
Bi2 0.311 0.811 0.000
Bi3 0.689 0.189 0.000
Bi4 0.811 0.689 0.000
Pb1 0.000 0.000 0.500
Pb2 0.500 0.500 0.500
S1 0.147 0.647 0.500
S2 0.353 0.147 0.500
S3 0.647 0.853 0.500
S4 0.853 0.353 0.500

Summary:
Formation energy (no corrections) (eV/atom): -0.017
ΔE to the lowest computed polymorph (eV per atom): 0.000

DFT (PBE-GGA) results for an optimized crystal structure of SrZnIN2.

Cell lengths 4.394, 4.394, 5.466 Å; angles 90.00, 90.00, 90.00 degrees
Sites, in units of the cell vectors:
Sr1 0.000 0.000 0.000
Zn1 0.500 0.500 0.500
I1 0.500 0.500 0.000
N1 0.000 0.500 0.500
N2 0.500 0.000 0.500

Summary:
Formation energy (no corrections) (eV/atom): 0.750
ΔE to the lowest computed polymorph (eV per atom): 0.000

DFT (PBE-GGA) results for an optimized crystal structure of BaSn3Sb3.

Cell lengths 10.745, 10.745, 5.139 Å; angles 90.00, 90.00, 120.00 degrees
Sites, in units of the cell vectors:
Ba1 0.333 0.667 0.250
Ba2 0.667 0.333 0.750
Sn1 0.001 0.818 0.750
Sn2 0.182 0.184 0.750
Sn3 0.184 0.001 0.250
Sn4 0.816 0.999 0.750
Sn5 0.818 0.816 0.250
Sn6 0.999 0.182 0.250
Sb1 0.053 0.571 0.750
Sb2 0.429 0.482 0.750
Sb3 0.482 0.053 0.250
Sb4 0.518 0.947 0.750
Sb5 0.571 0.518 0.250
Sb6 0.947 0.429 0.250

Summary:
Formation energy (no corrections) (eV/atom): -0.194
ΔE to the lowest computed polymorph (eV per atom): 0.000

DFT (PBE-GGA) results for an optimized crystal structure of OsAu3I.

Cell lengths 5.103, 5.103, 5.103 Å; angles 90.00, 90.00, 90.00 degrees
Sites, in units of the cell vectors:
Os1 0.000 0.000 0.000
Au1 0.000 0.000 0.500
Au2 0.000 0.500 0.000
Au3 0.500 0.000 0.000
I1 0.500 0.500 0.500

Summary:
Formation energy (no corrections) (eV/atom): 1.209

DFT (PBE-GGA) results for an optimized crystal structure of Tc4RhBr.

Cell lengths 5.176, 5.176, 5.176 Å; angles 60.00, 60.00, 60.00 degrees
Sites, in units of the cell vectors:
Tc1 0.376 0.376 0.376
Tc2 0.376 0.376 0.871
Tc3 0.376 0.871 0.376
Tc4 0.871 0.376 0.376
Rh1 0.750 0.750 0.750
Br1 0.000 0.000 0.000

Summary:
Formation energy (no corrections) (eV/atom): 0.907

DFT (PBE-GGA) results for an optimized crystal structure of AlHg2W.

Cell lengths 2.918, 4.669, 5.525 Å; angles 90.00, 90.00, 90.00 degrees
Sites, in units of the cell vectors:
Al1 0.000 0.000 0.000
Hg1 0.000 0.500 0.644
Hg2 0.500 0.000 0.443
W1 0.500 0.500 0.113

Summary:
Energy of formation (meV/atom): 524

| no. | uncorrected energy (eV/atom) |
| --- | --- |
| 1 | -3.70 |
| 2 | -2.65 |
| 3 | -5.02 |
| 4 | -5.83 |
| 5 | -5.55 |
| 6 | -4.10 |
| 7 | -3.96 |
| 8 | -3.48 |
| 9 | -3.95 |
| 10 | -3.31 |
| 11 | -7.51 |
| 12 | -3.80 |